# 1
Material: GaWBr2
Method: DFT, PBE
State: optimized geometry

Geometry as POSCAR:
```
GaWBr2
1.0
0.000 3.369 3.369
3.369 0.000 3.369
3.369 3.369 0.000
Ga W Br
1 1 2
Cartesian
0.000 0.000 0.000
3.369 3.369 3.369
1.685 1.685 1.685
5.054 5.054 5.054
```

Properties
energy relative to the elements, uncorrected: 0.989 eV/atom
E above lowest polymorph: 609 meV per atom

---

# 2
Material: GaWBr3
Method: DFT, PBE
State: optimized geometry

Geometry as POSCAR:
```
GaWBr3
1.0
5.382 0.000 0.000
0.000 5.382 0.000
0.000 0.000 5.382
Ga W Br
1 1 3
Cartesian
0.000 0.000 0.000
2.691 2.691 2.691
0.000 2.691 2.691
2.691 0.000 2.691
2.691 2.691 0.000
```

Properties
energy relative to the elements, uncorrected: 0.254 eV/atom
E above lowest polymorph: 0 meV per atom

---

# 3
Material: GaW2Br
Method: DFT, PBE
State: optimized geometry

Geometry as POSCAR:
```
GaW2Br
1.0
0.000 3.175 3.175
3.175 0.000 3.175
3.175 3.175 0.000
Ga W Br
1 2 1
Cartesian
0.000 0.000 0.000
1.587 1.587 1.587
4.762 4.762 4.762
3.175 3.175 3.175
```

Properties
energy relative to the elements, uncorrected: 1.074 eV/atom
E above lowest polymorph: 4 meV per atom

---

# 4
Material: GaWBr2
Method: DFT, PBE
State: optimized geometry

Geometry as POSCAR:
```
GaWBr2
1.0
-4.547 4.547 2.607
4.547 -4.547 2.607
4.547 4.547 -2.607
Ga W Br
2 2 4
Cartesian
0.000 0.000 0.000
0.000 4.547 1.304
4.547 0.000 1.304
0.000 0.000 2.607
2.274 3.581 -0.652
5.514 2.274 0.652
2.274 0.967 1.955
-0.967 2.274 3.259
```

Properties
energy relative to the elements, uncorrected: 0.430 eV/atom
E above lowest polymorph: 50 meV per atom

---

# 5
Material: YGa2Br8
Method: DFT, PBE
State: optimized geometry

Geometry as POSCAR:
```
YGa2Br8
1.0
6.529 -5.139 0.000
6.529 5.139 0.000
-1.350 0.000 6.665
Y Ga Br
1 2 8
Cartesian
0.000 0.000 0.000
1.728 0.000 4.472
9.980 0.000 2.193
4.967 3.281 1.446
2.064 0.000 1.967
6.741 3.281 5.219
3.822 0.000 5.527
7.886 0.000 1.138
4.967 -3.281 1.446
9.644 0.000 4.698
6.741 -3.281 5.219
```

Properties
energy relative to the elements, uncorrected: -1.072 eV/atom

---

# 6
Material: YGaBr4
Method: DFT, PBE
State: optimized geometry

Geometry as POSCAR:
```
YGaBr4
1.0
7.864 -2.117 0.000
7.864 2.117 0.000
-3.802 0.000 6.904
Y Ga Br
1 1 4
Cartesian
0.000 0.000 0.000
5.963 0.000 3.452
-1.352 0.000 5.637
3.203 0.000 5.165
8.723 0.000 1.739
13.278 0.000 1.266
```

Properties
energy relative to the elements, uncorrected: -1.420 eV/atom

---

# 7
Material: YGa2Br
Method: DFT, PBE
State: optimized geometry

Geometry as POSCAR:
```
YGa2Br
1.0
-4.319 4.319 2.819
4.319 -4.319 2.819
4.319 4.319 -2.819
Y Ga Br
2 4 2
Cartesian
0.000 0.000 0.000
0.000 4.319 1.410
6.478 1.990 -0.705
1.990 2.159 0.705
-2.159 2.329 2.115
2.329 2.159 3.524
4.319 0.000 1.410
0.000 0.000 2.819
```

Properties
energy relative to the elements, uncorrected: -0.203 eV/atom
E above lowest polymorph: 0 meV per atom

---

# 8
Material: YGaBr3
Method: DFT, PBE
State: optimized geometry

Geometry as POSCAR:
```
YGaBr3
1.0
5.397 0.000 0.000
0.000 5.397 0.000
0.000 0.000 5.397
Y Ga Br
1 1 3
Cartesian
0.000 0.000 0.000
2.698 2.698 2.698
0.000 2.698 2.698
2.698 0.000 2.698
2.698 2.698 0.000
```

Properties
energy relative to the elements, uncorrected: -0.370 eV/atom
E above lowest polymorph: 661 meV per atom

---

# 9
Material: YGa6Br12
Method: DFT, PBE
State: optimized geometry

Geometry as POSCAR:
```
YGa6Br12
1.0
5.276 3.046 6.790
-5.276 3.046 6.790
0.000 -6.092 6.790
Y Ga Br
1 6 12
Cartesian
0.000 0.000 0.000
-1.773 -0.159 5.841
1.024 -1.456 5.841
0.749 1.615 5.841
-0.749 -1.615 14.529
-1.024 1.456 14.529
1.773 0.159 14.529
-1.449 -4.394 8.514
-4.530 -0.942 11.855
-2.307 -0.651 8.321
-3.081 3.452 8.514
-0.589 -2.323 12.048
1.717 -1.672 8.321
-1.717 1.672 12.048
0.589 2.323 8.321
3.081 -3.452 11.855
2.307 0.651 12.048
4.530 0.942 8.514
1.449 4.394 11.855
```

Properties
energy relative to the elements, uncorrected: -0.764 eV/atom

---

# 10
Material: Y3GaBr3
Method: DFT, PBE
State: optimized geometry

Geometry as POSCAR:
```
Y3GaBr3
1.0
-5.853 5.853 5.853
5.853 -5.853 5.853
5.853 5.853 -5.853
Y Ga Br
12 4 12
Cartesian
1.583 1.463 -1.344
7.197 1.583 -1.463
1.463 -1.344 1.583
4.510 4.270 -1.463
4.270 1.463 1.344
-1.344 1.583 1.463
4.270 -1.463 4.510
1.463 1.344 4.270
1.344 4.270 1.463
1.583 -1.463 7.197
-1.463 7.197 1.583
-1.463 4.510 4.270
4.390 1.463 -1.463
1.463 1.463 1.463
1.463 -1.463 4.390
-1.463 4.390 1.463
7.317 1.396 1.531
7.317 -1.396 4.322
4.322 7.317 -1.396
4.458 1.531 4.390
4.390 4.458 1.531
1.531 7.317 1.396
7.249 4.322 4.390
1.531 4.390 4.458
1.396 1.531 7.317
4.390 7.249 4.322
-1.396 4.322 7.317
4.322 4.390 7.249
```

Properties
energy relative to the elements, uncorrected: -1.285 eV/atom

---

# 11
Material: YGaBr3
Method: DFT, PBE
State: optimized geometry

Geometry as POSCAR:
```
YGaBr3
1.0
5.611 0.000 0.000
0.000 5.611 0.000
0.000 0.000 5.611
Y Ga Br
1 1 3
Cartesian
0.000 0.000 0.000
2.805 2.805 2.805
0.000 0.000 2.805
0.000 2.805 0.000
2.805 0.000 0.000
```

Properties
energy relative to the elements, uncorrected: -1.031 eV/atom
E above lowest polymorph: 0 meV per atom

---

# 12
Material: Y4Ga2Br5
Method: DFT, PBE
State: optimized geometry

Geometry as POSCAR:
```
Y4Ga2Br5
1.0
11.714 -1.964 0.000
11.714 1.964 0.000
-1.125 0.000 8.184
Y Ga Br
4 2 5
Cartesian
0.135 0.000 2.316
7.299 0.000 4.511
15.004 0.000 3.672
22.168 0.000 5.867
9.946 0.000 3.675
12.357 0.000 4.508
3.039 0.000 1.590
4.374 0.000 5.490
11.714 0.000 0.000
17.929 0.000 2.694
19.264 0.000 6.594
```

Properties
energy relative to the elements, uncorrected: -1.210 eV/atom

---

# 13
Material: YGa2Br
Method: DFT, PBE
State: optimized geometry

Geometry as POSCAR:
```
YGa2Br
1.0
0.000 3.676 3.676
3.676 0.000 3.676
3.676 3.676 0.000
Y Ga Br
1 2 1
Cartesian
0.000 0.000 0.000
1.838 1.838 1.838
5.514 5.514 5.514
3.676 3.676 3.676
```

Properties
energy relative to the elements, uncorrected: -0.029 eV/atom
E above lowest polymorph: 173 meV per atom

---

# 14
Material: ZnGaBr3
Method: DFT, PBE
State: optimized geometry

Geometry as POSCAR:
```
ZnGaBr3
1.0
4.081 0.000 0.000
0.000 12.535 3.431
0.000 -12.535 3.431
Zn Ga Br
2 2 6
Cartesian
1.020 -9.659 3.431
3.061 9.659 3.431
1.020 -4.302 3.762
3.061 4.302 3.762
1.020 -7.385 2.586
1.020 2.468 2.348
1.020 -1.829 5.808
3.061 -2.468 2.348
3.061 7.385 2.586
3.061 1.829 5.808
```

Properties
energy relative to the elements, uncorrected: -0.726 eV/atom
E above lowest polymorph: 0 meV per atom

---

# 15
Material: ZnGa6Br12
Method: DFT, PBE
State: optimized geometry

Geometry as POSCAR:
```
ZnGa6Br12
1.0
7.989 4.612 3.342
-7.989 4.612 3.342
0.000 -9.225 3.342
Zn Ga Br
1 6 12
Cartesian
0.000 0.000 0.000
-6.461 -3.035 5.542
-0.603 -7.113 4.482
-5.859 4.078 4.482
5.859 -4.078 5.542
0.603 7.113 5.542
6.461 3.035 4.482
-5.302 1.817 3.499
-1.774 -2.103 3.374
1.078 -5.500 3.499
-4.224 -3.683 6.525
-0.935 2.588 3.374
2.709 -0.485 3.374
-2.709 0.485 6.651
0.935 -2.588 6.651
4.224 3.683 3.499
-1.078 5.500 6.525
1.774 2.103 6.651
5.302 -1.817 6.525
```

Properties
energy relative to the elements, uncorrected: -0.615 eV/atom

---

# 16
Material: Zn2GaBr
Method: DFT, PBE
State: optimized geometry

Geometry as POSCAR:
```
Zn2GaBr
1.0
0.000 3.624 3.624
3.624 0.000 3.624
3.624 3.624 0.000
Zn Ga Br
2 1 1
Cartesian
1.812 1.812 1.812
5.436 5.436 5.436
0.000 0.000 0.000
3.624 3.624 3.624
```

Properties
energy relative to the elements, uncorrected: 0.221 eV/atom
E above lowest polymorph: 224 meV per atom

---

# 17
Material: ZnGaBr3
Method: DFT, PBE
State: optimized geometry

Geometry as POSCAR:
```
ZnGaBr3
1.0
7.067 0.000 0.000
0.000 14.384 0.000
0.000 0.000 6.555
Zn Ga Br
4 4 12
Cartesian
1.561 3.596 0.467
1.972 10.788 3.744
5.095 3.596 2.810
5.505 10.788 6.087
0.000 0.000 3.277
0.000 7.192 3.277
3.533 0.000 0.000
3.533 7.192 0.000
0.549 3.596 2.754
0.903 1.486 6.091
0.903 5.706 6.091
2.630 8.679 2.814
2.630 12.898 2.814
2.984 10.788 6.031
4.082 3.596 0.523
4.437 1.486 3.741
4.437 5.706 3.741
6.164 8.679 0.463
6.164 12.898 0.463
6.518 10.788 3.801
```

Properties
energy relative to the elements, uncorrected: -0.689 eV/atom
E above lowest polymorph: 37 meV per atom

---

# 18
Material: Zn2GaBr
Method: DFT, PBE
State: optimized geometry

Geometry as POSCAR:
```
Zn2GaBr
1.0
-3.202 3.202 5.431
3.202 -3.202 5.431
3.202 3.202 -5.431
Zn Ga Br
4 2 2
Cartesian
4.803 1.393 -1.358
1.393 1.601 1.358
-1.601 1.809 4.073
1.809 1.601 6.788
0.000 0.000 0.000
0.000 3.202 2.715
3.202 0.000 2.715
0.000 0.000 5.431
```

Properties
energy relative to the elements, uncorrected: -0.002 eV/atom
E above lowest polymorph: 0 meV per atom

---

# 19
Material: Zn2GaBr6
Method: DFT, PBE
State: optimized geometry

Geometry as POSCAR:
```
Zn2GaBr6
1.0
7.150 -7.284 0.000
7.150 7.284 0.000
-2.454 0.000 6.279
Zn Ga Br
4 2 12
Cartesian
2.238 1.118 2.191
1.011 -1.118 5.330
10.836 1.118 0.949
9.609 -1.118 4.088
5.310 2.964 4.709
6.537 -2.964 1.570
3.300 4.373 5.542
0.846 1.065 4.195
2.072 -1.065 1.055
4.596 1.640 2.541
7.321 4.373 3.877
8.478 1.640 0.598
3.369 -1.640 5.681
4.527 -4.373 2.402
7.251 -1.640 3.738
9.775 1.065 5.224
11.001 -1.065 2.084
8.547 -4.373 0.737
```

Properties
energy relative to the elements, uncorrected: -0.742 eV/atom

---

# 20
Material: ZnGaBr
Method: DFT, PBE
State: optimized geometry

Geometry as POSCAR:
```
ZnGaBr
1.0
4.519 0.000 0.000
2.252 4.439 0.000
0.140 1.672 8.852
Zn Ga Br
2 2 2
Cartesian
1.354 1.349 0.962
5.556 4.762 7.890
3.328 3.305 0.798
3.582 2.806 8.053
2.406 3.905 5.985
4.504 2.206 2.866
```

Properties
energy relative to the elements, uncorrected: -0.255 eV/atom

---

Number 1: magnetic moment 0.00 μB per formula unit. Number 2: magnetic moment 4.00 μB per formula unit. Number 3: magnetic moment 0.00 μB per formula unit. Number 4: magnetic moment 0.71 μB per formula unit. Number 5: magnetic moment 0.00 μB per formula unit. Number 6: magnetic moment 0.00 μB per formula unit. Number 7: magnetic moment 0.00 μB per formula unit. Number 8: magnetic moment 1.20 μB per formula unit. Number 9: magnetic moment 0.00 μB per formula unit. Number 10: magnetic moment 0.00 μB per formula unit. Number 11: magnetic moment 0.92 μB per formula unit. Number 12: magnetic moment 0.00 μB per formula unit. Number 13: magnetic moment 0.00 μB per formula unit. Number 14: magnetic moment 0.00 μB per formula unit. Number 15: magnetic moment 0.00 μB per formula unit. Number 16: magnetic moment 0.00 μB per formula unit. Number 17: magnetic moment 0.00 μB per formula unit. Number 18: magnetic moment 0.00 μB per formula unit. Number 19: magnetic moment 0.00 μB per formula unit. Number 20: magnetic moment 0.00 μB per formula unit.